GGA-PBE Ba2TaRh, relaxed; ΔH_f (0 K) = 0.96 eV/atom
1.0
0.000 3.768 3.768
3.768 0.000 3.768
3.768 3.768 0.000
Ba Ta Rh
2 1 1
direct
0.250 0.250 0.250
0.000 0.000 0.000
0.750 0.750 0.750
0.500 0.500 0.500

---

GGA-PBE Pu3SnB2Rh9, relaxed; ΔH_f (0 K) = -0.42 eV/atom
1.0
-4.089 -3.438 2.282
4.057 2.356 3.425
-5.265 7.140 1.324
B Rh Pu Sn
2 9 3 1
direct
0.667 0.333 0.857
0.333 0.667 0.143
0.162 0.838 0.266
0.324 0.162 0.734
0.838 0.162 0.734
0.838 0.676 0.734
0.500 0.000 0.000
0.676 0.838 0.266
0.000 0.500 0.000
0.500 0.500 0.000
0.162 0.324 0.266
0.000 0.000 0.000
0.333 0.667 0.674
0.667 0.333 0.326
0.000 0.000 0.500

---

GGA-PBE K2TiF6, relaxed; ΔE_f (raw) = -3.2616 eV/atom
1.0
-1.913 3.185 -4.087
-2.936 -4.256 -1.943
-8.573 3.011 6.358
F Ti K
12 2 4
direct
0.169 0.831 0.623
0.243 0.243 0.500
0.257 0.743 0.000
0.669 0.669 0.877
0.331 0.331 0.877
0.831 0.169 0.377
0.169 0.831 0.377
0.669 0.669 0.123
0.831 0.169 0.623
0.331 0.331 0.123
0.757 0.757 0.500
0.743 0.257 0.000
0.000 0.000 0.500
0.500 0.500 0.000
0.500 0.500 0.337
0.500 0.500 0.663
0.000 0.000 0.837
0.000 0.000 0.163

---

GGA-PBE KRh, relaxed; ΔH_f (0 K) = 0.79 eV/atom
1.0
-0.530 2.488 1.465
0.005 -0.005 2.935
5.180 1.946 1.435
K Rh
1 1
direct
0.500 0.000 0.500
0.000 0.500 0.000

---

GGA-PBE Ti3ZnN, relaxed; ΔE_f (raw) = 1.5923 eV/atom
1.0
-0.201 2.791 -3.676
-2.135 -3.318 -2.403
-4.092 1.594 1.434
Ti N Zn
3 1 1
direct
0.500 0.000 0.000
0.000 0.000 0.500
0.000 0.500 0.000
0.500 0.500 0.500
0.000 0.000 0.000

---

GGA-PBE Gd2RhBr, relaxed; ΔE_f (raw) = -0.9302 eV/atom
1.0
-2.234 0.762 -2.504
1.725 -2.047 -2.162
-4.665 -6.302 2.246
Br Gd Rh
1 2 1
direct
0.500 0.500 0.500
0.000 0.000 0.791
0.000 0.000 0.209
0.500 0.500 0.000

---

GGA-PBE SnSbTe2Mo, relaxed; ΔE_f (raw) = 1.5692 eV/atom
1.0
5.576 0.000 0.000
0.000 5.576 0.000
0.000 0.000 5.529
Te Sb Sn Mo
2 1 1 1
direct
0.000 0.500 0.000
0.500 0.000 0.000
0.000 0.000 0.500
0.000 0.000 0.000
0.500 0.500 0.500

---

GGA-PBE AlReSbI2, relaxed; ΔE_f (raw) = 0.8070 eV/atom
1.0
5.681 0.000 0.000
0.000 5.681 0.000
0.000 0.000 5.102
I Sb Re Al
2 1 1 1
direct
0.000 0.500 0.000
0.500 0.000 0.000
0.000 0.000 0.500
0.000 0.000 0.000
0.500 0.500 0.500

---

GGA-PBE TmGe2, relaxed; ΔH_f (0 K) = -0.60 eV/atom
1.0
-2.650 -2.477 1.419
-0.850 -1.240 -3.752
5.959 -4.959 2.475
Ge Tm
4 2
direct
0.750 0.747 0.493
0.250 0.253 0.507
0.250 0.553 0.108
0.750 0.447 0.892
0.750 0.104 0.206
0.250 0.896 0.794

---

GGA-PBE NaAcSnBr6, relaxed; ΔE_f (raw) = -1.4852 eV/atom
1.0
-5.370 -4.610 0.595
3.773 -3.793 4.670
-5.247 7.438 10.280
Sn Br Ac Na
2 12 2 2
direct
0.000 0.000 0.001
0.500 0.500 0.501
0.199 0.801 0.502
0.196 0.804 0.833
0.301 0.301 0.002
0.696 0.696 0.333
0.699 0.699 0.002
0.196 0.804 0.164
0.304 0.304 0.664
0.801 0.199 0.502
0.304 0.304 0.333
0.696 0.696 0.664
0.804 0.196 0.833
0.804 0.196 0.164
0.500 0.500 0.834
0.000 0.000 0.334
0.500 0.500 0.167
0.000 0.000 0.667

---

GGA-PBE Tm6Cu2Bi, relaxed; ΔH_f (0 K) = -0.27 eV/atom
1.0
7.968 -0.203 -2.891
-4.338 6.932 -2.241
-0.073 0.203 8.476
Tm Bi Cu
12 2 4
direct
0.794 0.769 0.563
0.690 0.009 0.320
0.480 0.292 0.188
0.690 0.370 0.680
0.206 0.769 0.976
0.206 0.231 0.437
0.897 0.708 0.188
0.103 0.292 0.812
0.310 0.630 0.320
0.310 0.991 0.680
0.520 0.708 0.812
0.794 0.231 0.024
0.000 0.000 0.000
0.000 0.500 0.500
0.500 0.382 0.882
0.500 0.618 0.118
0.356 0.000 0.356
0.644 0.000 0.644

---

GGA-PBE Pr2NdC, relaxed; ΔH_f (0 K) = 0.06 eV/atom
1.0
3.670 0.000 0.000
1.835 3.178 0.000
1.835 1.059 10.218
Pr Nd C
2 1 1
direct
0.120 0.120 0.641
0.880 0.880 0.359
0.000 0.000 0.000
0.500 0.500 0.500

---

| no. | calculated density (kg/m³) | total energy (eV/atom) |
| --- | --- | --- |
| 1 | 8671 | -4.80 |
| 2 | 11393 | -8.85 |
| 3 | 2357 | -5.63 |
| 4 | 5767 | -3.44 |
| 5 | 3756 | -5.06 |
| 6 | 8551 | -10.23 |
| 7 | 5713 | -3.48 |
| 8 | 5938 | -3.88 |
| 9 | 8412 | -5.17 |
| 10 | 4067 | -3.65 |
| 11 | 9631 | -4.60 |
| 12 | 6104 | -5.82 |